1.
Computed, not measured: crystalline Ti3GeAs at its relaxed geometry at the PBE level of DFT.

Structure (POSCAR):
```
Ti3GeAs
1.0
4.677 0.000 0.000
0.000 4.677 0.000
0.000 0.000 4.677
Ge Ti As
1 3 1
Cartesian
2.338 2.338 2.338 Ge
2.338 0.000 0.000 Ti
0.000 0.000 2.338 Ti
0.000 2.338 0.000 Ti
0.000 0.000 0.000 As
```

Output
Space-group type: No. 221
Formation enthalpy at 0 K: 0.1646 eV/atom
Magnetic moment: 0.9 μB/cell
ΔE to the lowest computed polymorph: 571 meV/atom
Crystal system: cubic
DOS at the Fermi energy: 8.1 states/eV/cell

=====

2.
Computed, not measured: crystalline TiGe3As at its relaxed geometry at the PBE level of DFT.

Structure (POSCAR):
```
TiGe3As
1.0
-4.758 0.712 0.949
0.166 -3.484 3.447
1.175 3.377 3.356
As Ti Ge
1 1 3
Cartesian
0.000 0.000 0.000 As
-1.709 0.303 3.876 Ti
-2.379 0.356 0.474 Ge
0.083 -1.742 1.724 Ge
0.587 1.689 1.678 Ge
```

Output
Space-group type: No. 221
Formation enthalpy at 0 K: 0.9535 eV/atom
Magnetic moment: 0.0 μB/cell
ΔE to the lowest computed polymorph: 405 meV/atom
Crystal system: cubic
DOS at the Fermi energy: 8.9 states/eV/cell

=====

3.
Computed, not measured: crystalline Ti2GeAs at its relaxed geometry at the PBE level of DFT.

Structure (POSCAR):
```
Ti2GeAs
1.0
-0.508 0.902 4.402
-3.473 -1.777 2.286
0.734 -3.237 3.071
Ti As Ge
2 1 1
Cartesian
-0.811 -1.028 2.440 Ti
-2.434 -3.084 7.319 Ti
-1.623 -2.056 4.879 As
0.000 0.000 0.000 Ge
```

Output
Space-group type: No. 225
Formation enthalpy at 0 K: -0.3785 eV/atom
Magnetic moment: 0.0 μB/cell
ΔE to the lowest computed polymorph: 284 meV/atom
Crystal system: cubic
DOS at the Fermi energy: 3.7 states/eV/cell

=====

4.
Computed, not measured: crystalline TiGeAs at its relaxed geometry at the PBE level of DFT.

Structure (POSCAR):
```
TiGeAs
1.0
3.635 -0.347 0.000
-1.515 3.322 0.000
0.000 0.000 9.541
Ti Ge As
2 2 2
Cartesian
-0.655 2.709 0.017 Ti
2.775 0.266 4.788 Ti
1.062 1.486 1.502 Ge
1.058 1.489 6.272 Ge
2.778 0.263 7.908 As
-0.658 2.712 3.137 As
```

Output
Space-group type: No. 186
Formation enthalpy at 0 K: -0.1145 eV/atom
Magnetic moment: 0.0 μB/cell
Crystal system: hexagonal
DOS at the Fermi energy: 2.9 states/eV/cell

=====

5.
Computed, not measured: crystalline Ti10Ge3As3 at its relaxed geometry at the PBE level of DFT.

Structure (POSCAR):
```
Ti10Ge3As3
1.0
-5.154 -0.648 -0.197
0.411 -4.984 5.673
-0.981 7.350 1.487
Ti Ge As
10 3 3
Cartesian
-1.344 -1.035 4.229 Ti
-1.808 3.076 2.833 Ti
-2.271 -4.037 4.128 Ti
0.104 -1.258 1.432 Ti
-3.308 5.151 1.009 Ti
-2.722 0.279 1.728 Ti
-0.248 1.855 0.375 Ti
-3.916 -1.359 4.131 Ti
-0.427 1.769 5.353 Ti
-4.380 2.753 2.735 Ti
-2.956 2.513 0.476 Ge
-2.927 1.129 4.298 Ge
-2.418 -2.248 2.091 Ge
0.252 -3.053 3.476 As
-0.601 4.503 0.911 As
-0.221 0.916 2.773 As
```

Output
Space-group type: No. 189
Formation enthalpy at 0 K: -0.7889 eV/atom
Magnetic moment: 0.0 μB/cell
Crystal system: hexagonal
DOS at the Fermi energy: 14.3 states/eV/cell

=====

6.
Computed, not measured: crystalline Ti2GeAs4 at its relaxed geometry at the PBE level of DFT.

Structure (POSCAR):
```
Ti2GeAs4
1.0
-3.939 -2.918 -0.125
-0.058 -0.131 4.901
-5.869 3.696 2.482
As Ti Ge
4 2 1
Cartesian
-5.634 -0.840 4.816 As
-0.029 -0.066 2.451 As
-1.969 -1.459 -0.062 As
-4.231 1.487 2.442 As
-2.790 -0.456 2.407 Ti
-7.075 1.103 4.851 Ti
0.000 0.000 0.000 Ge
```

Output
Space-group type: No. 139
Formation enthalpy at 0 K: 0.2380 eV/atom
Magnetic moment: 0.0 μB/cell
Crystal system: tetragonal
DOS at the Fermi energy: 5.6 states/eV/cell

=====

7.
Computed, not measured: crystalline TiGeAs2 at its relaxed geometry at the PBE level of DFT.

Structure (POSCAR):
```
TiGeAs2
1.0
5.896 0.000 0.000
0.000 5.896 0.000
2.948 2.948 5.838
Ti Ge As
2 2 4
Cartesian
2.948 2.948 0.000 Ti
2.948 5.896 2.919 Ti
5.896 2.948 2.919 Ge
0.000 0.000 0.000 Ge
4.422 4.502 4.378 As
1.554 4.422 1.459 As
7.369 7.289 4.378 As
4.342 1.474 1.459 As
```

Output
Space-group type: No. 122
Formation enthalpy at 0 K: -0.1105 eV/atom
Magnetic moment: 0.0 μB/cell
Crystal system: tetragonal
DOS at the Fermi energy: 2.4 states/eV/cell

=====

8.
Computed, not measured: crystalline Ti3GeAs at its relaxed geometry at the PBE level of DFT.

Structure (POSCAR):
```
Ti3GeAs
1.0
3.566 0.000 0.000
-1.783 6.837 1.179
0.000 0.661 7.567
Ti Ge As
6 2 2
Cartesian
1.783 7.139 6.551 Ti
0.000 2.913 4.983 Ti
0.000 0.358 2.195 Ti
0.000 3.222 1.860 Ti
1.783 4.276 6.886 Ti
1.783 4.585 3.763 Ti
0.000 5.712 5.238 Ge
1.783 1.785 3.508 Ge
0.000 2.334 7.404 As
1.783 5.163 1.342 As
```

Output
Space-group type: No. 12
Formation enthalpy at 0 K: -0.4060 eV/atom
Magnetic moment: 0.0 μB/cell
ΔE to the lowest computed polymorph: 0 meV/atom
Crystal system: monoclinic
DOS at the Fermi energy: 9.3 states/eV/cell